This record from Alexandria via LeMat-Bulk describes a relaxed structure of LiAcErMg. The functional is PBE.

Cell: 7.853 7.853 7.853 Å, 90.00 90.00 90.00°
Space group F-43m (No. 216)
Unique sites:
Li1 0.000 0.000 0.000 x4
Ac1 0.250 0.250 0.250 x4
Er1 0.250 0.250 0.750 x4
Mg1 0.000 0.000 0.500 x4

This record from Alexandria via LeMat-Bulk describes a relaxed structure of Zr2Ti2O3. The functional is PBE.

Values from the calculation:
**Energy relative to the elements, uncorrected**: -2127 meV/atom

Cell: 10.709 3.102 5.471 Å, 90.00 106.86 90.00°
Space group C2/m (No. 12)
Unique sites:
Zr1 0.099 0.000 0.311 x4
Ti1 0.149 0.500 0.875 x4
O1 0.000 0.500 0.500 x2
O2 0.249 0.500 0.277 x4

This record from Alexandria via LeMat-Bulk describes a relaxed structure of AcLaPtI. The functional is PBE.

Values from the calculation:
**Energy relative to the elements, uncorrected**: -1213 meV/atom

Cell: 4.3982 4.3982 25.4454 Å, 90.00 90.00 120.00°
Space group R3m (No. 160, hexagonal axes)
Unique sites:
Ac1 0.0000 0.0000 0.0000 x3
La1 0.0000 0.0000 0.2094 x3
Pt1 0.0000 0.0000 0.6016 x3
I1 0.0000 0.0000 0.7765 x3

This record from Alexandria via LeMat-Bulk describes a relaxed structure of KZr2Re. The functional is PBE.

Values from the calculation:
**Distance to the lowest polymorph of the same formula**: 0.235 eV per atom

Cell: 8.032 3.242 9.190 Å, 90.00 93.70 90.00°
Space group C2/m (No. 12)
Unique sites:
K1 0.000 0.000 0.000 x2
Zr1 0.227 0.000 0.646 x4
Re1 0.000 0.500 0.500 x2

no.,raw total energy (eV/atom),M_tot (μB/f.u.),calculated density (kg/m³)
1,-2.99,0.0,5836
2,-8.95,0.0,6227
3,-5.37,0.0,8039
4,-7.23,0.0,5670